The following is a PBE with a Hubbard U calculation of an optimized crystal structure of PuCrCo2O8, from Alexandria via LeMat-Bulk.

crystal system: tetragonal
energy: -7.30 eV per atom

a b c (Å): 5.6917 5.6917 5.6917
angles (deg): 110.45 110.45 107.54
Fractional coordinates of all 12 atoms:
Pu (0.0000, 0.0000, 0.0000)
Cr (0.7500, 0.2500, 0.5000)
Co (0.2500, 0.7500, 0.5000)
Co (0.5000, 0.5000, 0.0000)
O (0.0376, 0.3438, 0.3062)
O (0.0376, 0.7314, 0.6938)
O (0.1142, 0.3084, 0.8058)
O (0.2686, 0.9624, 0.3062)
O (0.5026, 0.3084, 0.1942)
O (0.6562, 0.9624, 0.6938)
O (0.6916, 0.4974, 0.8058)
O (0.6916, 0.8858, 0.1942)